(1)
Computed, not measured: Cs3YS after structural relaxation at the GGA-PBEsol level of DFT.

Lattice parameters (Å, degrees): 6.6645 6.6645 6.6645 90.00 90.00 90.00
Closest atoms and distances in Å follow each position.
Element x y z (fractional)
Cs 0.5000 0.0000 0.0000  2 S 3.33
Y 0.5000 0.5000 0.5000  12 Cs 4.71
Cs 0.0000 0.5000 0.0000  2 S 3.33
Cs 0.0000 0.0000 0.5000  2 S 3.33
S 0.0000 0.0000 0.0000  6 Cs 3.33

## Properties
**Electronic total energy**: -2.719 eV per atom
**SG**: No. 221
**DOS(E_F)**: 4.7 states/eV/cell
**Total magnetization**: 0.401 μB per atom


(2)
Computed, not measured: CsZnS2 after structural relaxation at the GGA-PBEsol level of DFT.

Lattice parameters (Å, degrees): 6.1852 6.1852 5.1428 53.03 53.03 60.00
Closest atoms and distances in Å follow each position.
Element x y z (fractional)
Zn 0.0000 0.0000 0.0000  2 S 2.11
S 0.1902 0.1902 0.4293  1 Zn 2.11
Cs 0.5000 0.5000 0.5000  8 S 3.44-3.58
S 0.8098 0.8098 0.5707  1 Zn 2.11

## Properties
**Electronic total energy**: -3.244 eV per atom
**SG**: No. 166
**DOS(E_F)**: 1.8 states/eV/cell
**Total magnetization**: 0.261 μB per atom


(3)
Computed, not measured: CsZrS3 after structural relaxation at the GGA-PBEsol level of DFT.

Lattice parameters (Å, degrees): 5.2166 5.2166 5.2166 90.00 90.00 90.00
Closest atoms and distances in Å follow each position.
Element x y z (fractional)
Cs 0.0000 0.0000 0.0000  6 S 2.61
S 0.0000 0.5000 0.0000  2 Cs 2.61
S 0.5000 0.0000 0.0000  2 Cs 2.61
Zr 0.5000 0.5000 0.5000  12 S 3.69
S 0.0000 0.0000 0.5000  2 Cs 2.61

## Properties
**Electronic total energy**: -3.422 eV per atom
**SG**: No. 221
**DOS(E_F)**: 6.2 states/eV/cell
**Total magnetization**: 0.302 μB per atom


(4)
Computed, not measured: Cs3Sb after structural relaxation at the GGA-PBEsol level of DFT.

Lattice parameters (Å, degrees): 6.3843 6.3843 6.3843 60.00 60.00 60.00
Closest atoms and distances in Å follow each position.
Element x y z (fractional)
Cs 0.5000 0.5000 0.5000  8 Cs 3.91
Sb 0.0000 0.0000 0.0000  8 Cs 3.91
Cs 0.7500 0.7500 0.7500  4 Sb 3.91, 4 Cs 3.91
Cs 0.2500 0.2500 0.2500  4 Cs 3.91, 4 Sb 3.91

## Properties
**Electronic total energy**: -2.230 eV per atom
**SG**: No. 225
**Total magnetization**: 0.000 μB per atom


(5)
Computed, not measured: Cs3ScSb after structural relaxation at the GGA-PBEsol level of DFT.

Lattice parameters (Å, degrees): 7.2549 7.2549 7.2549 90.00 90.00 90.00
Closest atoms and distances in Å follow each position.
Element x y z (fractional)
Sc 0.5000 0.5000 0.5000  12 Cs 5.13
Cs 0.0000 0.5000 0.0000  2 Sb 3.63
Sb 0.0000 0.0000 0.0000  6 Cs 3.63
Cs 0.5000 0.0000 0.0000  2 Sb 3.63
Cs 0.0000 0.0000 0.5000  2 Sb 3.63

## Properties
**Electronic total energy**: -2.245 eV per atom
**SG**: No. 221
**DOS(E_F)**: 10.2 states/eV/cell
**Total magnetization**: 0.205 μB per atom


(6)
Computed, not measured: CsSc3Sb after structural relaxation at the GGA-PBEsol level of DFT.

Lattice parameters (Å, degrees): 5.5717 5.5717 5.5717 90.00 90.00 90.00
Closest atoms and distances in Å follow each position.
Element x y z (fractional)
Sb 0.0000 0.0000 0.0000  6 Sc 2.79
Sc 0.0000 0.0000 0.5000  2 Sb 2.79
Sc 0.0000 0.5000 0.0000  2 Sb 2.79
Sc 0.5000 0.0000 0.0000  2 Sb 2.79
Cs 0.5000 0.5000 0.5000  12 Sc 3.94

## Properties
**Electronic total energy**: -4.681 eV per atom
**SG**: No. 221
**DOS(E_F)**: 7.7 states/eV/cell
**Total magnetization**: 0.786 μB per atom


Number 1: ΔE_f (raw) 88 meV/atom. Number 2: ΔE_f (raw) -421 meV/atom. Number 3: ΔE_f (raw) 1215 meV/atom. Number 4: ΔE_f (raw) -384 meV/atom. Number 5: ΔE_f (raw) 553 meV/atom. Number 6: ΔE_f (raw) 382 meV/atom.